No. 1
Below is a relaxed structure of Mo, with properties calculated at the PBE level.

a b c (Å): 2.688 2.688 2.552
angles (deg): 90.00 90.00 112.78
Positions (direct):
Mo (0.000, 0.000, 0.000)

energy of formation from the pure elements: 0.82 eV/atom
M_tot: 0.00 μB/cell
space-group type: Cmmm, No. 65
offset from the most stable computed form: 79 kJ/mol of formula units

No. 2
Below is a relaxed structure of LaSmDy2Er, with properties calculated at the PBE level.

a b c (Å): 7.156 7.156 7.225
angles (deg): 90.00 90.00 107.60
Positions (direct):
La (0.234, 0.766, 0.750)
La (0.766, 0.234, 0.250)
Sm (0.499, 0.501, 0.750)
Sm (0.501, 0.499, 0.250)
Dy (0.188, 0.188, 0.000)
Dy (0.188, 0.188, 0.500)
Dy (0.812, 0.812, 0.000)
Dy (0.812, 0.812, 0.500)
Er (0.219, 0.781, 0.250)
Er (0.781, 0.219, 0.750)

energy of formation from the pure elements: 0.37 eV/atom
M_tot: 0.00 μB/cell
space-group type: Cmcm, No. 63

No. 3
Below is a relaxed structure of PuCoPt, with properties calculated at the PBE level.

a b c (Å): 6.128 6.128 6.128
angles (deg): 90.00 90.00 90.00
Positions (direct):
Pu (0.003, 0.497, 0.503)
Pu (0.497, 0.503, 0.003)
Pu (0.503, 0.003, 0.497)
Pu (0.997, 0.997, 0.997)
Co (0.247, 0.753, 0.253)
Co (0.253, 0.247, 0.753)
Co (0.747, 0.747, 0.747)
Co (0.753, 0.253, 0.247)
Pt (0.000, 0.000, 0.500)
Pt (0.000, 0.500, 0.000)
Pt (0.500, 0.000, 0.000)
Pt (0.500, 0.500, 0.500)

energy of formation from the pure elements: -0.22 eV/atom
M_tot: 15.17 μB/cell
space-group type: P2_13, No. 198

No. 4
Below is a relaxed structure of CrP, with properties calculated at the PBE level.

a b c (Å): 3.898 3.898 3.898
angles (deg): 41.95 41.95 41.95
Positions (direct):
Cr (0.000, 0.000, 0.000)
P (0.500, 0.500, 0.500)

energy of formation from the pure elements: -0.09 eV/atom
M_tot: 0.48 μB/cell
space-group type: R-3m, No. 166

No. 5
Below is a relaxed structure of Dy3ZnSb, with properties calculated at the PBE level.

a b c (Å): 6.690 4.491 8.890
angles (deg): 90.00 90.05 90.00
Positions (direct):
Dy (0.215, 0.250, 0.249)
Dy (0.244, 0.750, 0.551)
Dy (0.245, 0.750, 0.949)
Dy (0.755, 0.250, 0.051)
Dy (0.756, 0.250, 0.449)
Dy (0.785, 0.750, 0.751)
Zn (0.055, 0.250, 0.750)
Zn (0.945, 0.750, 0.250)
Sb (0.469, 0.250, 0.750)
Sb (0.531, 0.750, 0.250)

M_tot: 0.00 μB/cell
energy relative to the elements, uncorrected: -535 meV per atom
space-group type: P2_1/m, No. 11

No. 6
Below is a relaxed structure of TaIrOs3, with properties calculated at the PBE level.

a b c (Å): 4.665 4.665 4.665
angles (deg): 90.00 90.00 90.00
Positions (direct):
Ta (0.000, 0.000, 0.000)
Ir (0.500, 0.500, 0.500)
Os (0.000, 0.000, 0.500)
Os (0.000, 0.500, 0.000)
Os (0.500, 0.000, 0.000)

energy of formation from the pure elements: 2.58 eV/atom
M_tot: 0.00 μB/cell
space-group type: Pm-3m, No. 221
offset from the most stable computed form: 654 kJ/mol of formula units

No. 7
Below is a relaxed structure of CrSb, with properties calculated at the PBE level.

a b c (Å): 5.113 5.113 7.466
angles (deg): 109.75 109.75 42.33
Positions (direct):
Cr (0.000, 0.000, 0.000)
Cr (0.031, 0.031, 0.604)
Cr (0.779, 0.779, 0.254)
Sb (0.305, 0.305, 0.562)
Sb (0.502, 0.502, 0.289)
Sb (0.678, 0.678, 0.873)

M_tot: 8.99 μB/cell
energy relative to the elements, uncorrected: 292 meV per atom
space-group type: Cm, No. 8